[1]
Here is SrMoBr2 after structural relaxation from Alexandria via LeMat-Bulk. Energies are from GGA-PBE.

a = 4.5081 Å, b = 4.2243 Å, c = 6.7705 Å
α = 71.66°, β = 90.00°, γ = 90.00°
Last column: magnetic moment on the atom in μB.
Fractional positions:
Sr1 0.5000 0.6815 0.7625  0.06
Mo1 0.0000 0.3025 0.5220  3.05
Br1 0.0000 0.0983 0.9292  0.03
Br2 0.5000 0.4176 0.2863  0.06

- E_form (uncorrected) (eV per atom) = -0.1912

***

[2]
Here is SrMoBr2 after structural relaxation from Alexandria via LeMat-Bulk. Energies are from GGA-PBE.

a = 3.4832 Å, b = 3.4832 Å, c = 8.9925 Å
α = 90.00°, β = 90.00°, γ = 90.00°
Last column: magnetic moment on the atom in μB.
Fractional positions:
Sr1 0.5000 0.5000 0.7457  -0.01
Mo1 0.0000 0.0000 0.4588  0.46
Br1 0.0000 0.0000 0.9512  0.00
Br2 0.5000 0.5000 0.3443  -0.01

- E_form (uncorrected) (eV per atom) = -0.2331

***

[3]
Here is SrMoBr2 after structural relaxation from Alexandria via LeMat-Bulk. Energies are from GGA-PBE.

a = 4.3415 Å, b = 3.5190 Å, c = 6.4063 Å
α = 89.99°, β = 90.00°, γ = 90.00°
Last column: magnetic moment on the atom in μB.
Fractional positions:
Sr1 0.5000 0.7500 0.7500  -0.01
Mo1 0.5000 0.2500 0.2500  0.65
Br1 0.0000 0.2509 0.0115  0.00
Br2 0.0000 0.2491 0.4885  0.00

- E_form (uncorrected) (eV per atom) = -0.1296

***

Energy relative to the lowest polymorph listed for this composition / eV/f.u.: 0.175 0.007 0.421